NaGd2Ni: optimized geometry, GGA-PBE.

The structure in POSCAR format:
```
NaGd2Ni
1.0
3.862 0.000 0.000
-1.931 3.344 0.000
0.000 0.000 31.145
Na Gd Ni
3 6 3
direct
0.000 0.000 0.000
0.333 0.667 0.667
0.667 0.333 0.333
0.000 0.000 0.118
0.000 0.000 0.882
0.333 0.667 0.549
0.333 0.667 0.785
0.667 0.333 0.215
0.667 0.333 0.451
0.000 0.000 0.500
0.333 0.667 0.167
0.667 0.333 0.833
```

Calculated values
**E_form**: -18 meV/atom
**ΔE to the lowest computed polymorph**: 79 meV/atom
**Fermi-level density of states**: 4.8 states/eV/f.u.
**Size of the total moment**: 43.851 Bohr magnetons per cell